First-principles (PBE-GGA) data for crystalline Ti2BPb at its relaxed geometry, as listed in Alexandria via LeMat-Bulk.

Lattice parameters (Å, degrees): 5.6583 5.6583 5.6583 105.98 105.98 116.69
Fractional positions:
1 Ti 0.0532 0.6250 0.9282
2 Ti 0.3750 0.3032 0.4282
3 Ti 0.6968 0.1250 0.0718
4 Ti 0.8750 0.9468 0.5718
5 B 0.0000 0.0000 0.0000
6 B 0.7500 0.2500 0.5000
7 Pb 0.2500 0.7500 0.5000
8 Pb 0.5000 0.5000 0.0000

Its electronic total energy is -50.8 eV per cell. The calculated volume comes out at 17.22 Å³ per atom. The energy of formation is 0.19 eV per atom. The value obtained for the total magnetization is 0.000 Bohr magnetons per cell.